Mg3CuN: relaxed, PBE.

Structure (CIF):
```
data_Mg3CuN
_symmetry_space_group_name_H-M 'P 1'
_symmetry_Int_Tables_number 1
_symmetry_space_group_name_Hall 'P 1'
_cell_length_a 4.210
_cell_length_b 4.210
_cell_length_c 4.210
_cell_angle_alpha 90.00
_cell_angle_beta 90.00
_cell_angle_gamma 90.00
loop_
_atom_site_label
_atom_site_fract_x
_atom_site_fract_y
_atom_site_fract_z
Cu1 0.000 0.000 0.000
Mg1 0.500 0.500 0.000
Mg2 0.500 0.000 0.500
Mg3 0.000 0.500 0.500
N1 0.500 0.500 0.500
```

Volume = 14.9 A^3/atom
E = -3.63 eV/atom